(1)
Below is a relaxed structure of Bi4PdRh, with properties calculated at the PBE level.

The energy above the most stable polymorph in this dataset comes out at 95.1 meV/atom.

Unit cell a=8.980 b=12.825 c=6.547 alpha=90.00 beta=125.12 gamma=90.00
Space group C2/c (No. 15)
Asymmetric unit:
Bi 0.136 0.186 0.098
Bi 0.185 0.443 0.251
Pd 0.000 0.009 0.750
Rh 0.000 0.365 0.750


(2)
Below is a relaxed structure of AsIr2Se, with properties calculated at the PBE level.

The energy above the most stable polymorph in this dataset comes out at 664.5 meV/atom.

Unit cell a=6.402 b=6.402 c=6.402 alpha=90.00 beta=90.00 gamma=90.00
Space group F-43m (No. 216)
Asymmetric unit:
As 0.000 0.000 0.000
Ir 0.000 0.000 0.500
Ir 0.250 0.250 0.750
Se 0.250 0.250 0.250


(3)
Below is a relaxed structure of KBa2InIr, with properties calculated at the PBE level.

Unit cell a=6.190 b=6.190 c=5.370 alpha=90.00 beta=90.00 gamma=90.00
Space group P4/mmm (No. 123)
Asymmetric unit:
K 0.000 0.000 0.000
Ba 0.000 0.500 0.500
In 0.500 0.500 0.000
Ir 0.500 0.500 0.500


(4)
Below is a relaxed structure of CeHo3Os8, with properties calculated at the PBE level.

Unit cell a=9.278 b=5.361 c=9.300 alpha=90.00 beta=109.30 gamma=90.00
Space group Cm (No. 8)
Asymmetric unit:
Ce 0.000 0.000 0.000
Ho 0.000 0.500 0.502
Ho 0.125 0.000 0.376
Ho 0.125 0.500 0.876
Os 0.063 0.000 0.686
Os 0.063 0.500 0.191
Os 0.311 0.248 0.686
Os 0.313 0.000 0.939
Os 0.313 0.500 0.439
Os 0.314 0.249 0.191


no.,DFT total energy (eV/cell)
1,-115.3
2,-92.2
3,-17.2
4,-225.6